1.
Rb2SeClF6: relaxed, PBE-GGA.

Properties
Uncorrected formation energy ... -1.93 eV/atom
Energy above the lowest structure with this stoichiometry ... 0.0 meV/atom

a = 15.4507 Å, b = 15.4507 Å, c = 15.4507 Å
α = 21.61°, β = 21.61°, γ = 21.61°
Last column: nearest neighbours and their distance in Å.
Positions (direct):
Rb (0.1293, 0.1293, 0.1293)  9 F 2.96-3.28
Rb (0.2816, 0.2816, 0.2816)  6 F 3.16, 3 Cl 3.52
Rb (0.7184, 0.7184, 0.7184)  6 F 3.16, 3 Cl 3.52
Rb (0.8707, 0.8707, 0.8707)  9 F 2.96-3.28
Se (0.0000, 0.0000, 0.0000)  6 F 1.86
Se (0.5000, 0.5000, 0.5000)  6 F 1.93
Cl (0.4091, 0.4091, 0.4091)  3 F 2.98
Cl (0.5909, 0.5909, 0.5909)  3 F 2.98
F (0.1573, 0.6353, 0.6353)  1 Se 1.93
F (0.1741, 0.1741, 0.7239)  1 Se 1.86
F (0.1741, 0.7239, 0.1741)  1 Se 1.86
F (0.2761, 0.8259, 0.8259)  1 Se 1.86
F (0.3647, 0.3647, 0.8427)  1 Se 1.93
F (0.3647, 0.8427, 0.3647)  1 Se 1.93
F (0.6353, 0.1573, 0.6353)  1 Se 1.93
F (0.6353, 0.6353, 0.1573)  1 Se 1.93
F (0.7239, 0.1741, 0.1741)  1 Se 1.86
F (0.8259, 0.2761, 0.8259)  1 Se 1.86
F (0.8259, 0.8259, 0.2761)  1 Se 1.86
F (0.8427, 0.3647, 0.3647)  1 Se 1.93

***

2.
CaTh2Al: relaxed, PBE-GGA.

Properties
Formation enthalpy at 0 K ... 0.20 eV/atom
Energy above the lowest structure with this stoichiometry ... 155.4 meV/atom

a = 12.2560 Å, b = 12.2560 Å, c = 12.2560 Å
α = 16.06°, β = 16.06°, γ = 16.06°
Last column: nearest neighbours and their distance in Å.
Positions (direct):
Ca (0.0000, 0.0000, 0.0000)  6 Ca 3.42, 2 Th 3.47
Th (0.0957, 0.0957, 0.0957)  3 Al 3.25, 6 Th 3.42, 1 Ca 3.47
Th (0.9043, 0.9043, 0.9043)  3 Al 3.25, 6 Th 3.42, 1 Ca 3.47
Al (0.5000, 0.5000, 0.5000)  6 Th 3.25, 6 Al 3.42

***

3.
Hf2AlNi4: relaxed, PBE-GGA.

Properties
Formation enthalpy at 0 K ... -0.24 eV/atom
Energy above the lowest structure with this stoichiometry ... 0.0 meV/atom

a = 4.6020 Å, b = 4.6133 Å, c = 6.2142 Å
α = 70.82°, β = 83.45°, γ = 64.66°
Last column: nearest neighbours and their distance in Å.
Positions (direct):
Hf (0.0072, 0.3462, 0.2868)  7 Ni 2.61-2.91
Hf (0.9928, 0.6538, 0.7132)  7 Ni 2.61-2.91
Al (0.5000, 0.0000, 0.0000)  6 Ni 2.30-2.44
Ni (0.0000, 0.0000, 0.0000)  2 Al 2.30, 4 Ni 2.42-2.46
Ni (0.3314, 0.6769, 0.3461)  3 Ni 2.28-2.47, 1 Al 2.44
Ni (0.5000, 0.5000, 0.0000)  2 Al 2.31, 4 Ni 2.46-2.47
Ni (0.6686, 0.3231, 0.6539)  3 Ni 2.28-2.47, 1 Al 2.44

***

4.
PmErInBi: relaxed, PBE-GGA.

Properties
Formation enthalpy at 0 K ... -0.45 eV/atom

a = 5.4660 Å, b = 5.4660 Å, c = 5.4660 Å
α = 60.00°, β = 60.00°, γ = 60.00°
Last column: nearest neighbours and their distance in Å.
Positions (direct):
Pm (0.0000, 0.0000, 0.0000)  4 Bi 3.35, 4 In 3.35
Er (0.5000, 0.5000, 0.5000)  4 In 3.35, 4 Bi 3.35
In (0.2500, 0.2500, 0.2500)  4 Er 3.35, 4 Pm 3.35
Bi (0.7500, 0.7500, 0.7500)  4 Er 3.35, 4 Pm 3.35

***

5.
NbCoReI: relaxed, PBE-GGA.

Properties
Uncorrected formation energy ... 0.56 eV/atom
Energy above the lowest structure with this stoichiometry ... 85.6 meV/atom

a = 3.9038 Å, b = 3.9236 Å, c = 6.3967 Å
α = 98.64°, β = 100.98°, γ = 114.39°
Last column: nearest neighbours and their distance in Å.
Positions (direct):
Nb (0.0000, 0.0000, 0.0000)  1 Re 2.48, 3 Co 2.57-2.63
Co (0.5454, 0.2762, 0.8128)  3 Re 2.34-2.39, 2 Nb 2.57-2.58
Re (0.1601, 0.5923, 0.7391)  3 Co 2.34-2.39, 1 Nb 2.48
I (0.4810, 0.9413, 0.3946)  1 Co 2.71, 1 Nb 2.95, 2 Re 2.97-2.98

***

6.
AsPbI3: relaxed, PBE-GGA.

Properties
Uncorrected formation energy ... 0.10 eV/atom
Energy above the lowest structure with this stoichiometry ... 0.0 meV/atom

a = 5.7304 Å, b = 5.7304 Å, c = 5.7304 Å
α = 90.00°, β = 90.00°, γ = 90.00°
Last column: nearest neighbours and their distance in Å.
Positions (direct):
As (0.0000, 0.0000, 0.0000)  6 I 2.87
Pb (0.5000, 0.5000, 0.5000)  12 I 4.05
I (0.0000, 0.0000, 0.5000)  2 As 2.87
I (0.0000, 0.5000, 0.0000)  2 As 2.87
I (0.5000, 0.0000, 0.0000)  2 As 2.87

***

7.
Tl2ZnOs: relaxed, PBE-GGA.

Properties
Formation enthalpy at 0 K ... 0.81 eV/atom
Energy above the lowest structure with this stoichiometry ... 277.9 meV/atom

a = 5.0581 Å, b = 5.0581 Å, c = 4.9704 Å
α = 103.97°, β = 103.97°, γ = 39.92°
Last column: nearest neighbours and their distance in Å.
Positions (direct):
Tl (0.2456, 0.2456, 0.2418)  3 Os 2.90-2.96, 3 Zn 2.94-2.98, 4 Tl 2.98-3.08
Tl (0.7544, 0.7544, 0.7582)  3 Os 2.90-2.96, 3 Zn 2.94-2.98, 4 Tl 2.98-3.08
Zn (0.0000, 0.0000, 0.5000)  6 Tl 2.94-2.98, 4 Os 3.03
Os (0.5000, 0.5000, 0.0000)  6 Tl 2.90-2.96, 4 Zn 3.03

***

8.
Nd2AlSnPd6: relaxed, PBE-GGA.

Properties
Formation enthalpy at 0 K ... -0.63 eV/atom

a = 8.7072 Å, b = 8.7072 Å, c = 8.7072 Å
α = 38.33°, β = 38.33°, γ = 38.33°
Last column: nearest neighbours and their distance in Å.
Positions (direct):
Nd (0.2062, 0.2062, 0.2062)  9 Pd 3.01-3.29
Nd (0.7938, 0.7938, 0.7938)  9 Pd 3.01-3.29
Al (0.5000, 0.5000, 0.5000)  6 Pd 2.51
Sn (0.0000, 0.0000, 0.0000)  6 Pd 2.70
Pd (0.2437, 0.7453, 0.7453)  1 Al 2.51, 1 Sn 2.70
Pd (0.2547, 0.2547, 0.7563)  1 Al 2.51, 1 Sn 2.70
Pd (0.2547, 0.7563, 0.2547)  1 Al 2.51, 1 Sn 2.70
Pd (0.7453, 0.2437, 0.7453)  1 Al 2.51, 1 Sn 2.70
Pd (0.7453, 0.7453, 0.2437)  1 Al 2.51, 1 Sn 2.70
Pd (0.7563, 0.2547, 0.2547)  1 Al 2.51, 1 Sn 2.70